[1]
Computed, not measured: crystalline CaPuO3 at its relaxed geometry at the PBE level of DFT.

Computed properties:
* DOS at the Fermi energy: 3.54 states/eV/f.u.
* total magnetization: 4.00 μB/f.u.
* DFT total energy: -184.41 eV per cell
* space-group type: Cmcm

Cell and atoms, written as POSCAR:
```
CaPuO3
1.0
-3.3732 1.6940 -4.6147
-3.5713 -4.6862 0.9100
-4.7643 4.6377 5.1851
Ca Pu O
4 4 12
Cartesian
-3.7180 3.4159 3.8116
-6.8665 2.0593 2.1320
-7.9909 -1.7704 -2.3311
-4.8424 -0.4138 -0.6515
-1.6866 0.8470 -2.3073
-4.1678 -0.0243 3.0476
-1.7857 -2.3431 0.4550
-4.0688 3.1659 0.2852
-3.5065 -2.5967 -0.8993
-8.3644 0.1276 -0.1526
-3.3445 1.5180 1.6331
-5.2143 3.8687 2.0318
-10.1964 1.9110 1.8413
-5.8886 -0.2779 1.6933
-5.8203 1.9234 -0.2128
-5.2834 1.6440 3.9582
-6.4946 -2.2231 -0.5513
-1.5125 -0.2654 -0.3608
-6.4255 0.0015 -2.4777
-3.4381 -0.3955 -2.8053
```

[2]
Computed, not measured: crystalline Ca3PuO6 at its relaxed geometry at the PBE level of DFT.

Computed properties:
* E above lowest polymorph: 0.0000 eV/atom
* DOS at the Fermi energy: 7.74 states/eV/f.u.
* total magnetization: 2.00 μB/f.u.
* DFT total energy: -159.01 eV per cell
* space-group type: R-3

Cell and atoms, written as POSCAR:
```
Ca3PuO6
1.0
-3.1242 5.7018 -1.8210
-3.2578 -0.0796 5.9133
5.1205 3.4820 2.6913
O Ca Pu
12 6 2
Cartesian
-0.9707 6.5231 2.8395
0.7221 5.3249 4.7624
0.8063 4.2347 1.9290
-3.6045 1.8198 5.1245
-0.2908 2.5811 3.9442
3.5931 3.5740 4.1086
2.3430 7.2845 1.6592
-2.0677 4.8696 4.8546
-4.8546 5.5302 2.6751
0.3476 2.8030 7.3027
-1.9835 3.7794 2.0213
-1.6091 6.3013 -0.5190
-0.6016 5.0553 6.7564
1.8441 2.2764 2.8718
-3.1056 6.8279 3.9119
1.0213 7.5014 3.7754
-0.6599 4.0489 0.0273
-2.2828 1.6029 3.0083
-0.6307 4.5521 3.3918
0.0000 0.0000 0.0000
```

[3]
Computed, not measured: crystalline RbCa2PuO6 at its relaxed geometry at the PBE level of DFT.

Computed properties:
* total magnetization: 1.00 μB/f.u.
* DFT total energy: -74.69 eV per cell
* space-group type: R3

Cell and atoms, written as POSCAR:
```
RbCa2PuO6
1.0
-1.8719 4.9795 2.7537
-5.7916 1.5196 -0.1693
-3.4278 -0.6594 5.3777
Rb O Ca Pu
1 6 2 1
Cartesian
-8.2025 4.7551 5.3718
-3.3369 3.0230 2.6157
-7.3316 2.2614 5.0584
-6.8172 2.6789 1.7272
-5.7290 5.4970 3.7010
-5.0139 3.1869 6.0860
-5.0363 0.9012 4.6512
-3.4087 -0.5971 5.2783
-5.4683 3.1707 3.5801
-2.5712 2.1122 0.9480
```

[4]
Computed, not measured: crystalline RbCaPu2O8 at its relaxed geometry at the PBE level of DFT.

Computed properties:
* DOS at the Fermi energy: 4.52 states/eV/f.u.
* total magnetization: 3.00 μB/f.u.
* DFT total energy: -98.23 eV per cell
* space-group type: P-3

Cell and atoms, written as POSCAR:
```
RbCaPu2O8
1.0
6.0235 0.0000 0.0000
-3.0118 5.2165 0.0000
0.0000 0.0000 7.2212
O Rb Pu Ca
8 1 2 1
Cartesian
3.0118 1.7388 2.2726
3.9158 0.2864 6.3566
0.0000 3.4777 4.9486
-0.8058 1.9686 0.8646
1.3019 1.6822 6.3566
-0.9040 4.9301 0.8646
1.7098 3.5344 0.8646
3.8176 3.2479 6.3566
0.0000 0.0000 3.6106
3.0118 1.7388 0.4006
0.0000 3.4777 6.8206
0.0000 0.0000 0.0000
```